VASP calculation (PBE) on a geometry-optimized K2MgBeB structure.

POSCAR file:
```
K2MgBeB
1.0
-3.505 1.185 -5.389
-3.848 -1.848 2.096
-1.572 5.906 2.321
Mg B K Be
1 1 2 1
Cartesian
0.000 0.000 0.000
-4.462 2.621 -0.486
-1.752 0.593 -2.695
-0.786 2.953 1.160
-1.924 -0.924 1.048
```

Computed properties:
- calculated total energy (eV/f.u.) = -6.4
- DFT formation energy (eV per formula unit) = 7.8